ZnNi2RuN: optimized geometry, PBE-GGA.

Results
The calculated density comes out at 8634 kg/m3. The density of states at the Fermi level comes out at 2.97 states/eV per cell. For the volume, the calculation gives 57.3 Å³/cell. The formation energy from raw total energies is -0.0537 eV/atom. Its energy relative to the lowest polymorph listed for this composition is 0.0 meV/atom. As for the total energy: -30.71 eV for the cell shown.

Unit cell a=3.812 b=3.812 c=3.942 alpha=90.00 beta=90.00 gamma=90.00
Fractional positions:
Ni (0.000, 0.500, 0.000)
Ni (0.500, 0.000, 0.000)
N (0.000, 0.000, 0.000)
Ru (0.000, 0.000, 0.500)
Zn (0.500, 0.500, 0.500)